Density functional theory data (PBE) for a relaxed structure of ScOsRuW.

```
ScOsRuW
1.0
-1.0743 3.1574 2.9648
-4.2865 0.9780 0.7636
-1.8901 -1.1332 3.8803
Sc Ru Os W
1 1 1 1
direct
0.7500 0.7500 0.7500
0.0000 0.0000 0.0000
0.5000 0.5000 0.5000
0.2500 0.2500 0.2500
```

Its calculated volume is 15.7 Å³ per atom. The value obtained for the electronic total energy is -0.3736 hartree per atom. The value obtained for the formation energy is -220 meV/atom.

Density functional theory data (PBE) for a relaxed structure of Os2RuSe.

```
Os2RuSe
1.0
8.6306 -0.0030 -0.0017
8.1645 2.7978 -0.0017
8.1645 1.3586 2.4458
Os Ru Se
2 1 1
direct
0.0008 0.0008 0.0008
0.4992 0.4992 0.4992
0.2500 0.2500 0.2500
0.7500 0.7500 0.7500
```

Its calculated volume is 14.8 Å³ per atom. Its formation energy (no corrections) is 2.11 eV/f.u. The value obtained for the electronic total energy is -0.3042 hartree per atom.

Density functional theory data (PBE) for a relaxed structure of OsRu2Se.

```
OsRu2Se
1.0
-0.2774 0.9906 2.6925
2.5031 -1.2383 0.7135
3.4491 5.9217 -1.8233
Os Ru Se
1 2 1
direct
0.5000 0.5000 0.7555
0.0000 0.0000 0.9915
0.5000 0.5000 0.2647
0.0000 0.0000 0.4883
```

Its calculated volume is 14.7 Å³ per atom. Its formation energy (no corrections) is 1.70 eV/f.u. The value obtained for the electronic total energy is -0.2900 hartree per atom.